[1]
Density functional theory data (PBE) for a relaxed structure of Pu2HPt6.

a b c (Å): 6.5251 5.4780 5.3727
angles (deg): 88.40 90.00 126.55
Last column: magnetic moment on the atom in μB.
Sites, in units of the cell vectors:
Pu: 0.6740 0.3480 0.1688  4.84
Pu: 0.3260 0.6520 0.8312  4.84
H: 0.0000 0.0000 0.0000  0.00
Pt: 0.8204 0.2281 0.6750  -0.14
Pt: 0.8919 0.7838 0.7237  -0.08
Pt: 0.4077 0.2281 0.6750  -0.14
Pt: 0.1796 0.7719 0.3250  -0.14
Pt: 0.1081 0.2162 0.2763  -0.08
Pt: 0.5923 0.7719 0.3250  -0.14

Results
Symmetry: No. 12
Uncorrected energy (eV per atom): -8.104
Theoretical density (Mg/m³): 17.87
Magnetization (μB per cell): 9.294



[2]
Density functional theory data (PBE) for a relaxed structure of GaHg2H2.

a b c (Å): 3.4181 3.4181 7.1849
angles (deg): 76.24 76.24 90.00
Sites, in units of the cell vectors:
H: 0.7500 0.2500 0.5000
H: 0.2500 0.7500 0.5000
Hg: 0.3537 0.3537 0.2925
Hg: 0.6463 0.6463 0.7075
Ga: 0.0000 0.0000 0.0000

Results
Symmetry: No. 139
Uncorrected energy (eV per atom): -1.593
Theoretical density (Mg/m³): 9.93
Excess energy over the best structure of this formula in the dataset (meV per atom): 400.2
Magnetization (μB per cell): 0.000



[3]
Density functional theory data (PBE) for a relaxed structure of Sr3B2O8.

a b c (Å): 5.3908 5.3908 7.1871
angles (deg): 67.97 67.97 60.00
Last column: magnetic moment on the atom in μB.
Sites, in units of the cell vectors:
Sr: 0.0000 0.0000 0.0000  0.00
Sr: 0.7915 0.7915 0.6256  0.00
Sr: 0.2085 0.2085 0.3744  0.00
B: 0.5857 0.5857 0.2430  -0.03
B: 0.4143 0.4143 0.7570  -0.03
O: 0.6616 0.6616 0.0153  0.62
O: 0.3384 0.3384 0.9847  0.62
O: 0.2641 0.7164 0.3031  0.36
O: 0.7164 0.2641 0.3031  0.36
O: 0.7164 0.7164 0.3031  0.36
O: 0.2836 0.7359 0.6969  0.36
O: 0.7359 0.2836 0.6969  0.36
O: 0.2836 0.2836 0.6969  0.36

Results
Symmetry: No. 166
Uncorrected energy (eV per atom): -6.624
Theoretical density (Mg/m³): 4.20
ΔE_f (raw) (kJ/mol of formula units): -2706
Magnetization (μB per cell): 4.006



[4]
Density functional theory data (PBE) for a relaxed structure of CaIr2Br.

a b c (Å): 3.0030 4.6663 5.2745
angles (deg): 90.00 90.00 90.00
Sites, in units of the cell vectors:
Ca: 0.0000 0.5000 0.5000
Ir: 0.0000 0.0000 0.0000
Ir: 0.5000 0.5000 0.0000
Br: 0.5000 0.0000 0.5000

Results
Symmetry: No. 47
Uncorrected energy (eV per atom): -5.187
Theoretical density (Mg/m³): 11.33
ΔE_f (raw) (kJ/mol of formula units): 62
Excess energy over the best structure of this formula in the dataset (meV per atom): 416.4
Magnetization (μB per cell): 0.000



[5]
Density functional theory data (PBE) for a relaxed structure of SnIr2O.

a b c (Å): 4.3689 4.3689 4.3689
angles (deg): 60.00 60.00 60.00
Sites, in units of the cell vectors:
Ir: 0.2500 0.2500 0.2500
Ir: 0.7500 0.7500 0.7500
Sn: 0.5000 0.5000 0.5000
O: 0.0000 0.0000 0.0000

Results
Symmetry: No. 225
Uncorrected energy (eV per atom): -6.140
Theoretical density (Mg/m³): 14.62
ΔE_f (raw) (kJ/mol of formula units): 205
Excess energy over the best structure of this formula in the dataset (meV per atom): 434.0
Magnetization (μB per cell): 0.000



[6]
Density functional theory data (PBE) for a relaxed structure of GdTmGaCu.

a b c (Å): 4.9930 4.9930 4.9930
angles (deg): 60.00 60.00 60.00
Last column: magnetic moment on the atom in μB.
Sites, in units of the cell vectors:
Gd: 0.0000 0.0000 0.0000  7.08
Tm: 0.5000 0.5000 0.5000  0.09
Cu: 0.2500 0.2500 0.2500  0.02
Ga: 0.7500 0.7500 0.7500  -0.01

Results
DFT formation energy (meV/atom): -417
Symmetry: No. 216
Uncorrected energy (eV per atom): -6.835
Theoretical density (Mg/m³): 8.67
Magnetization (μB per cell): 7.362



[7]
Density functional theory data (PBE) for a relaxed structure of SmEr2Pt.

a b c (Å): 6.5050 7.0932 9.5397
angles (deg): 90.00 90.00 90.00
Sites, in units of the cell vectors:
Sm: 0.6313 0.5219 0.2500
Sm: 0.8687 0.0219 0.2500
Sm: 0.3687 0.4781 0.7500
Sm: 0.1313 0.9781 0.7500
Er: 0.1749 0.6777 0.0619
Er: 0.3251 0.1777 0.4381
Er: 0.8251 0.3223 0.5619
Er: 0.6749 0.8223 0.9381
Er: 0.8251 0.3223 0.9381
Er: 0.6749 0.8223 0.5619
Er: 0.1749 0.6777 0.4381
Er: 0.3251 0.1777 0.0619
Pt: 0.0643 0.3859 0.2500
Pt: 0.4357 0.8859 0.2500
Pt: 0.9357 0.6141 0.7500
Pt: 0.5643 0.1141 0.7500

Results
DFT formation energy (meV/atom): -711
Symmetry: No. 62
Uncorrected energy (eV per atom): -5.683
Theoretical density (Mg/m³): 10.26
Excess energy over the best structure of this formula in the dataset (meV per atom): 0.0
Magnetization (μB per cell): 0.000



[8]
Density functional theory data (PBE) for a relaxed structure of Cr2CuOs.

a b c (Å): 2.5749 2.5749 8.3150
angles (deg): 90.00 90.00 111.87
Sites, in units of the cell vectors:
Cr: 0.0000 0.0000 0.0146
Cr: 0.5000 0.5000 0.2355
Cu: 0.0000 0.0000 0.4893
Os: 0.5000 0.5000 0.7606

Results
DFT formation energy (meV/atom): 293
Symmetry: No. 35
Uncorrected energy (eV per atom): -8.350
Theoretical density (Mg/m³): 11.61
Magnetization (μB per cell): 0.000



[9]
Density functional theory data (PBE) for a relaxed structure of PaGa2Sn.

a b c (Å): 4.2960 4.4807 4.4807
angles (deg): 90.00 90.00 90.00
Sites, in units of the cell vectors:
Pa: 0.5000 0.5000 0.5000
Sn: 0.5000 0.0000 0.0000
Ga: 0.0000 0.0000 0.5000
Ga: 0.0000 0.5000 0.0000

Results
DFT formation energy (meV/atom): -364
Symmetry: No. 123
Uncorrected energy (eV per atom): -5.253
Theoretical density (Mg/m³): 9.42
Excess energy over the best structure of this formula in the dataset (meV per atom): 0.0
Magnetization (μB per cell): 0.000